This record from the Alexandria database describes a relaxed structure of TbTl2GaS4. The functional is PBE.

abc: 8.0340 8.3174 11.6565
angles: 90.00 90.00 90.00
Space group Imma (No. 74)
Unique sites:
Tb: 0.0000 0.0000 0.0000 [4 per cell]
Tl: 0.0000 0.0000 0.5000 [4 per cell]
Tl: 0.2500 0.2500 0.2500 [4 per cell]
Ga: 0.2500 0.2500 0.7500 [4 per cell]
S: 0.0000 0.0472 0.7610 [8 per cell]
S: 0.2241 0.2500 0.9755 [8 per cell]

Computed properties:
raw total energy = -142.636 eV/cell
crystal system = orthorhombic
magnetization = 0.00 μB/cell
formation energy from raw total energies = -0.84 eV per atom

=====

This record from the Alexandria database describes a relaxed structure of GaTcS2. The functional is PBE.

abc: 5.5579 5.5579 10.4310
angles: 90.00 90.00 90.00
Space group I-42d (No. 122)
Unique sites:
Ga: 0.0000 0.0000 0.0000 [4 per cell]
Tc: 0.0000 0.0000 0.5000 [4 per cell]
S: 0.2264 0.2500 0.6250 [8 per cell]

Computed properties:
raw total energy = -88.720 eV/cell
crystal system = tetragonal
magnetization = 0.00 μB/cell
formation energy from raw total energies = -0.13 eV per atom

=====

This record from the Alexandria database describes a relaxed structure of GaTcS3. The functional is PBE.

abc: 4.6697 4.6697 4.6697
angles: 90.00 90.00 90.00
Space group Pm-3m (No. 221)
Unique sites:
Ga: 0.0000 0.0000 0.0000 [1 per cell]
Tc: 0.5000 0.5000 0.5000 [1 per cell]
S: 0.0000 0.0000 0.5000 [3 per cell]

Computed properties:
raw total energy = -21.775 eV/cell
crystal system = cubic
magnetization = 3.98 μB/cell
formation energy from raw total energies = 0.80 eV per atom

=====

This record from the Alexandria database describes a relaxed structure of GaTcS2. The functional is PBE.

abc: 3.0775 3.0775 26.6186
angles: 90.00 90.00 120.00
Space group R-3m (No. 166, hexagonal axes)
Unique sites:
Ga: 0.0000 0.0000 0.0000 [3 per cell]
Tc: 0.0000 0.0000 0.5000 [3 per cell]
S: 0.0000 0.0000 0.1052 [6 per cell]

Computed properties:
raw total energy = -67.449 eV/cell
crystal system = trigonal
magnetization = 0.00 μB/cell
formation energy from raw total energies = -0.21 eV per atom

=====

This record from the Alexandria database describes a relaxed structure of GaTc2S. The functional is PBE.

abc: 7.0060 7.0060 5.1690
angles: 90.00 90.00 90.00
Space group I-42d (No. 122)
Unique sites:
Ga: 0.0000 0.0000 0.0000 [4 per cell]
Tc: 0.1696 0.2500 0.6250 [8 per cell]
S: 0.0000 0.0000 0.5000 [4 per cell]

Computed properties:
raw total energy = -107.728 eV/cell
crystal system = tetragonal
magnetization = 0.00 μB/cell
formation energy from raw total energies = 0.24 eV per atom

=====

This record from the Alexandria database describes a relaxed structure of Ga2TcS. The functional is PBE.

abc: 7.0354 7.0354 5.3639
angles: 90.00 90.00 90.00
Space group I-42d (No. 122)
Unique sites:
Ga: 0.2401 0.2500 0.1250 [8 per cell]
Tc: 0.0000 0.0000 0.5000 [4 per cell]
S: 0.0000 0.0000 0.0000 [4 per cell]

Computed properties:
raw total energy = -77.753 eV/cell
crystal system = tetragonal
magnetization = 4.86 μB/cell
formation energy from raw total energies = 0.28 eV per atom

=====

This record from the Alexandria database describes a relaxed structure of Ga2Tc2S. The functional is PBE.

abc: 6.2829 6.2829 3.9037
angles: 90.00 90.00 90.00
Space group P4/mbm (No. 127)
Unique sites:
Ga: 0.1453 0.3547 0.0000 [4 per cell]
Tc: 0.1632 0.6632 0.5000 [4 per cell]
S: 0.0000 0.0000 0.5000 [2 per cell]

Computed properties:
raw total energy = -62.108 eV/cell
crystal system = tetragonal
magnetization = 0.00 μB/cell
formation energy from raw total energies = -0.03 eV per atom

=====

This record from the Alexandria database describes a relaxed structure of GaTc3S. The functional is PBE.

abc: 4.5797 4.5797 4.5797
angles: 90.00 90.00 90.00
Space group Pm-3m (No. 221)
Unique sites:
Ga: 0.0000 0.0000 0.0000 [1 per cell]
Tc: 0.0000 0.0000 0.5000 [3 per cell]
S: 0.5000 0.5000 0.5000 [1 per cell]

Computed properties:
raw total energy = -29.147 eV/cell
crystal system = cubic
magnetization = 2.57 μB/cell
formation energy from raw total energies = 1.82 eV per atom